1.
PrMg2GaHg4 | PBE | relaxed

Cell: 9.461 9.461 9.461 Å, 30.10 30.10 30.10°
Fractional coordinates of all 8 atoms:
Pr (0.000, 0.000, 0.000)
Mg (0.242, 0.242, 0.242)
Mg (0.758, 0.758, 0.758)
Ga (0.500, 0.500, 0.500)
Hg (0.126, 0.126, 0.126)
Hg (0.388, 0.388, 0.388)
Hg (0.612, 0.612, 0.612)
Hg (0.874, 0.874, 0.874)

## Properties
Energy of formation ... -0.2702 eV/atom
Calculated total energy ... -14.4 eV/cell
Space-group type ... R-3m (166)
Density of states at the Fermi level ... 2.13 states/eV/f.u.


2.
MgGa2HgRh | PBE | relaxed

Cell: 4.779 4.779 5.094 Å, 90.00 90.00 90.00°
Fractional coordinates of all 5 atoms:
Mg (0.000, 0.000, 0.000)
Ga (0.000, 0.500, 0.500)
Ga (0.500, 0.000, 0.500)
Hg (0.500, 0.500, 0.000)
Rh (0.000, 0.000, 0.500)

## Properties
Energy of formation ... -0.2449 eV/atom
Calculated total energy ... -16.5 eV/cell
Space-group type ... P4/mmm (123)
Density of states at the Fermi level ... 1.64 states/eV/f.u.


3.
Mg2GaHgRu | PBE | relaxed

Cell: 4.910 4.910 4.610 Å, 90.00 90.00 90.00°
Fractional coordinates of all 5 atoms:
Mg (0.000, 0.500, 0.000)
Mg (0.500, 0.000, 0.000)
Ga (0.000, 0.000, 0.000)
Hg (0.500, 0.500, 0.500)
Ru (0.000, 0.000, 0.500)

## Properties
Energy of formation ... 0.5038 eV/atom
Calculated total energy ... -13.3 eV/cell
Space-group type ... P4/mmm (123)
Density of states at the Fermi level ... 3.77 states/eV/f.u.


4.
MgGaHgSb | PBE | relaxed

Cell: 5.144 5.144 5.144 Å, 60.00 60.00 60.00°
Fractional coordinates of all 4 atoms:
Mg (0.000, 0.000, 0.000)
Ga (0.500, 0.500, 0.500)
Hg (0.750, 0.750, 0.750)
Sb (0.250, 0.250, 0.250)

## Properties
Calculated total energy ... -9.3 eV/cell
Space-group type ... F-43m (216)
Formation energy (no corrections) ... -0.069 eV per atom
Density of states at the Fermi level ... 0.82 states/eV/f.u.


5.
SmMg2GaHg4 | PBE | relaxed

Cell: 9.151 9.151 9.151 Å, 31.41 31.41 31.41°
Fractional coordinates of all 8 atoms:
Sm (0.000, 0.000, 0.000)
Mg (0.246, 0.246, 0.246)
Mg (0.754, 0.754, 0.754)
Ga (0.500, 0.500, 0.500)
Hg (0.125, 0.125, 0.125)
Hg (0.383, 0.383, 0.383)
Hg (0.617, 0.617, 0.617)
Hg (0.875, 0.875, 0.875)

## Properties
Energy of formation ... -0.2619 eV/atom
Calculated total energy ... -14.2 eV/cell
Space-group type ... R-3m (166)
Density of states at the Fermi level ... 2.83 states/eV/f.u.


6.
Mg2GaSnHg8 | PBE | relaxed

Cell: 6.667 6.667 8.089 Å, 90.00 90.00 120.00°
Fractional coordinates of all 12 atoms:
Mg (0.333, 0.667, 0.463)
Mg (0.667, 0.333, 0.537)
Ga (0.000, 0.000, 0.000)
Sn (0.000, 0.000, 0.500)
Hg (0.180, 0.360, 0.770)
Hg (0.180, 0.820, 0.770)
Hg (0.333, 0.667, 0.113)
Hg (0.360, 0.180, 0.230)
Hg (0.640, 0.820, 0.770)
Hg (0.667, 0.333, 0.887)
Hg (0.820, 0.180, 0.230)
Hg (0.820, 0.640, 0.230)

## Properties
Energy of formation ... 0.0382 eV/atom
Calculated total energy ... -12.2 eV/cell
Space-group type ... P-3m1 (164)
Density of states at the Fermi level ... 3.77 states/eV/f.u.


7.
MgGaSnHg | PBE | relaxed

Cell: 3.299 3.372 8.260 Å, 89.59 89.99 89.99°
Fractional coordinates of all 4 atoms:
Mg (0.000, 0.000, 0.000)
Ga (0.002, 0.992, 0.522)
Sn (0.500, 0.496, 0.265)
Hg (0.501, 0.500, 0.770)

## Properties
Energy of formation ... -0.0545 eV/atom
Calculated total energy ... -9.1 eV/cell
Space-group type ... P1 (1)
Density of states at the Fermi level ... 1.34 states/eV/f.u.


8.
Mg5GaSn2Hg2 | PBE | relaxed

Cell: 11.551 11.551 3.482 Å, 90.00 90.00 90.00°
Fractional coordinates of all 20 atoms:
Mg (0.000, 0.500, 0.000)
Mg (0.015, 0.200, 0.000)
Mg (0.200, 0.985, 0.000)
Mg (0.300, 0.485, 0.000)
Mg (0.485, 0.700, 0.000)
Mg (0.500, 0.000, 0.000)
Mg (0.515, 0.300, 0.000)
Mg (0.700, 0.515, 0.000)
Mg (0.800, 0.015, 0.000)
Mg (0.985, 0.800, 0.000)
Ga (0.000, 0.000, 0.500)
Ga (0.500, 0.500, 0.500)
Sn (0.171, 0.671, 0.500)
Sn (0.329, 0.171, 0.500)
Sn (0.671, 0.829, 0.500)
Sn (0.829, 0.329, 0.500)
Hg (0.144, 0.356, 0.500)
Hg (0.356, 0.856, 0.500)
Hg (0.644, 0.144, 0.500)
Hg (0.856, 0.644, 0.500)

## Properties
Energy of formation ... -0.0988 eV/atom
Calculated total energy ... -41.2 eV/cell
Space-group type ... P4/mbm (127)
Density of states at the Fermi level ... 3.33 states/eV/f.u.


9.
MgGaSnHg | PBE | relaxed

Cell: 5.099 5.099 5.099 Å, 60.00 60.00 60.00°
Fractional coordinates of all 4 atoms:
Mg (0.000, 0.000, 0.000)
Ga (0.500, 0.500, 0.500)
Sn (0.750, 0.750, 0.750)
Hg (0.250, 0.250, 0.250)

## Properties
Energy of formation ... 0.0118 eV/atom
Calculated total energy ... -8.9 eV/cell
Space-group type ... F-43m (216)
Density of states at the Fermi level ... 3.83 states/eV/f.u.


10.
SrMg2GaHg2 | PBE | relaxed

Cell: 4.876 4.876 7.334 Å, 90.00 90.00 120.00°
Fractional coordinates of all 6 atoms:
Sr (0.000, 0.000, 0.000)
Mg (0.333, 0.667, 0.644)
Mg (0.667, 0.333, 0.356)
Ga (0.000, 0.000, 0.500)
Hg (0.333, 0.667, 0.236)
Hg (0.667, 0.333, 0.764)

## Properties
Energy of formation ... -0.3082 eV/atom
Calculated total energy ... -10.4 eV/cell
Space-group type ... P-3m1 (164)
Density of states at the Fermi level ... 2.36 states/eV/f.u.


11.
SrMgGaHg2 | PBE | relaxed

Cell: 7.160 7.160 7.160 Å, 143.49 143.49 52.59°
Fractional coordinates of all 5 atoms:
Sr (0.000, 0.000, 0.000)
Mg (0.750, 0.250, 0.500)
Ga (0.250, 0.750, 0.500)
Hg (0.386, 0.386, 0.000)
Hg (0.614, 0.614, 0.000)

## Properties
Energy of formation ... -0.3595 eV/atom
Calculated total energy ... -8.7 eV/cell
Space-group type ... I-4m2 (119)
Density of states at the Fermi level ... 3.19 states/eV/f.u.


12.
Sr2MgGa4Hg3 | PBE | relaxed

Cell: 4.584 4.584 11.685 Å, 90.00 90.00 90.00°
Fractional coordinates of all 10 atoms:
Sr (0.000, 0.500, 0.247)
Sr (0.500, 0.000, 0.753)
Mg (0.000, 0.000, 0.500)
Ga (0.000, 0.000, 0.000)
Ga (0.000, 0.500, 0.636)
Ga (0.500, 0.000, 0.364)
Ga (0.500, 0.500, 0.000)
Hg (0.000, 0.500, 0.864)
Hg (0.500, 0.000, 0.136)
Hg (0.500, 0.500, 0.500)

## Properties
Energy of formation ... -0.3352 eV/atom
Calculated total energy ... -21.3 eV/cell
Space-group type ... P-4m2 (115)
Density of states at the Fermi level ... 5.94 states/eV/f.u.


no.,total magnetic moment (μB per cell),calculated volume (Å³ per cell)
1,0.00,188.7
2,0.00,116.4
3,0.00,111.1
4,0.00,96.3
5,0.00,184.8
6,0.00,311.4
7,0.00,91.9
8,0.00,464.6
9,0.00,93.8
10,0.00,151.0
11,0.00,129.1
12,0.00,245.5